Record 1
The following is a PBE calculation of a relaxed BeCdRh2 crystal, from Alexandria via LeMat-Bulk.

Results
The value obtained for the density is 9.6 Mg/m³. Its formation energy is -0.56 eV per formula unit.

```
data_BeCdRh2
_chemical_formula_sum 'Be2 Cd2 Rh4'
_space_group_name_H-M_alt 'C m m m'
_space_group_IT_number 65
_space_group_name_Hall '-C 2 2'
_cell_length_a 3.084
_cell_length_b 4.645
_cell_length_c 7.893
_cell_angle_alpha 90.00
_cell_angle_beta 90.00
_cell_angle_gamma 90.00
loop_
_atom_site_label
_atom_site_fract_x
_atom_site_fract_y
_atom_site_fract_z
Be1 0.000 0.000 0.000
Cd1 0.000 0.000 0.500
Rh1 0.000 0.500 0.203
```

=====

Record 2
The following is a PBE calculation of a relaxed BeCd2Rh crystal, from Alexandria via LeMat-Bulk.

Results
The value obtained for the density is 8.9 Mg/m³. Its formation energy is 0.34 eV per formula unit.

```
data_BeCd2Rh
_chemical_formula_sum 'Be2 Cd4 Rh2'
_space_group_name_H-M_alt 'I m m m'
_space_group_IT_number 71
_space_group_name_Hall '-I 2 2'
_cell_length_a 3.263
_cell_length_b 4.295
_cell_length_c 8.920
_cell_angle_alpha 90.00
_cell_angle_beta 90.00
_cell_angle_gamma 90.00
loop_
_atom_site_label
_atom_site_fract_x
_atom_site_fract_y
_atom_site_fract_z
Be1 0.000 0.000 0.000
Cd1 0.000 0.500 0.276
Rh1 0.000 0.000 0.500
```

=====

Record 3
The following is a PBE calculation of a relaxed BeCdRh2 crystal, from Alexandria via LeMat-Bulk.

Results
The value obtained for the density is 9.5 Mg/m³. Its formation energy is -0.13 eV per formula unit.

```
data_BeCdRh2
_chemical_formula_sum 'Be1 Cd1 Rh2'
_space_group_name_H-M_alt 'P 4/m m m'
_space_group_IT_number 123
_space_group_name_Hall '-P 4 2'
_cell_length_a 4.301
_cell_length_b 4.301
_cell_length_c 3.097
_cell_angle_alpha 90.00
_cell_angle_beta 90.00
_cell_angle_gamma 90.00
loop_
_atom_site_label
_atom_site_fract_x
_atom_site_fract_y
_atom_site_fract_z
Be1 0.000 0.000 0.000
Cd1 0.500 0.500 0.000
Rh1 0.000 0.500 0.500
```

=====

Record 4
The following is a PBE calculation of a relaxed BeCdRh2 crystal, from Alexandria via LeMat-Bulk.

Results
The value obtained for the density is 9.3 Mg/m³. Its formation energy is 0.39 eV per formula unit.

```
data_BeCdRh2
_chemical_formula_sum 'Be1 Cd1 Rh2'
_space_group_name_H-M_alt 'P m m m'
_space_group_IT_number 47
_cell_length_a 2.969
_cell_length_b 4.281
_cell_length_c 4.578
_cell_angle_alpha 90.00
_cell_angle_beta 90.00
_cell_angle_gamma 90.00
loop_
_space_group_symop_operation_xyz
'x,y,z'
'-x,-y,-z'
'-x,-y,z'
'x,y,-z'
'x,-y,-z'
'-x,y,z'
'-x,y,-z'
'x,-y,z'
loop_
_atom_site_label
_atom_site_fract_x
_atom_site_fract_y
_atom_site_fract_z
Be1 0.000 0.000 0.000
Cd1 0.500 0.000 0.500
Rh1 0.000 0.500 0.500
Rh2 0.500 0.500 0.000
```

=====

Record 5
The following is a PBE calculation of a relaxed Be2CdRh crystal, from Alexandria via LeMat-Bulk.

Results
The value obtained for the density is 7.7 Mg/m³. Its formation energy is -0.51 eV per formula unit.

```
data_Be2CdRh
_chemical_formula_sum 'Be2 Cd1 Rh1'
_space_group_name_H-M_alt 'P 1 m 1'
_space_group_IT_number 6
_cell_length_a 2.858
_cell_length_b 3.710
_cell_length_c 4.966
_cell_angle_alpha 90.00
_cell_angle_beta 106.64
_cell_angle_gamma 90.00
loop_
_space_group_symop_operation_xyz
'x,y,z'
'x,-y,z'
loop_
_atom_site_label
_atom_site_fract_x
_atom_site_fract_y
_atom_site_fract_z
Be1 0.000 0.000 0.000
Be2 0.124 0.500 0.252
Cd1 0.739 0.000 0.482
Rh1 0.432 0.500 0.864
```

=====

Record 6
The following is a PBE calculation of a relaxed BeCdRh2 crystal, from Alexandria via LeMat-Bulk.

Results
The value obtained for the density is 9.3 Mg/m³. Its formation energy is 0.63 eV per formula unit.

```
data_BeCdRh2
_chemical_formula_sum 'Be2 Cd2 Rh4'
_space_group_name_H-M_alt 'C m m 2'
_space_group_IT_number 35
_cell_length_a 2.875
_cell_length_b 4.705
_cell_length_c 8.647
_cell_angle_alpha 90.00
_cell_angle_beta 90.00
_cell_angle_gamma 90.00
loop_
_space_group_symop_operation_xyz
'x,y,z'
'-x,-y,z'
'-x,y,z'
'x,-y,z'
'x+1/2,y+1/2,z'
'-x+1/2,-y+1/2,z'
'-x+1/2,y+1/2,z'
'x+1/2,-y+1/2,z'
loop_
_atom_site_label
_atom_site_fract_x
_atom_site_fract_y
_atom_site_fract_z
Be1 0.000 0.000 0.000
Cd1 0.000 0.500 0.265
Rh1 0.000 0.000 0.541
Rh2 0.000 0.500 0.807
```